The following is a PBE calculation of crystalline Al3HCl at its relaxed geometry, from Alexandria via LeMat-Bulk.

The calculated volume comes out at 85.27 Å³ per cell. The total energy is -2.888 eV per atom.

It has space group Pm-3m (No. 221), with a = 4.402 Å, b = 4.402 Å, c = 4.402 Å, α = 90.00°, β = 90.00° and γ = 90.00°. The inequivalent atoms are Al at (0.000, 0.000, 0.500), H at (0.000, 0.000, 0.000) and Cl at (0.500, 0.500, 0.500).

The following is a PBE calculation of crystalline In2CuOs at its relaxed geometry, from Alexandria via LeMat-Bulk.

The calculated volume comes out at 277.93 Å³ per cell. Its energy of formation from the pure elements is 600 meV per atom. The total energy is -4.601 eV per atom.

It has space group F-43m (No. 216), with a = 6.526 Å, b = 6.526 Å, c = 6.526 Å, α = 90.00°, β = 90.00° and γ = 90.00°. The inequivalent atoms are In at (0.000, 0.000, 0.000), In at (0.250, 0.250, 0.250), Cu at (0.000, 0.000, 0.500) and Os at (0.250, 0.250, 0.750).

The following is a PBE calculation of crystalline Ac4AgRh at its relaxed geometry, from Alexandria via LeMat-Bulk.

The calculated volume comes out at 913.65 Å³ per cell. Its energy of formation from the pure elements is -291 meV per atom. The total energy is -4.730 eV per atom.

It has space group C2/c (No. 15), with a = 9.690 Å, b = 15.929 Å, c = 7.383 Å, α = 90.00°, β = 126.70° and γ = 90.00°. The inequivalent atoms are Ac at (0.146, 0.206, 0.137), Ac at (0.245, 0.043, 0.735), Ag at (0.000, 0.380, 0.750) and Rh at (0.000, 0.073, 0.250).

The following is a PBE calculation of crystalline BaZnIr2 at its relaxed geometry, from Alexandria via LeMat-Bulk.

The calculated volume comes out at 169.73 Å³ per cell. Its energy of formation from the pure elements is 401 meV per atom. The total energy is -4.829 eV per atom.

It has space group Imm2 (No. 44), with a = 3.003 Å, b = 5.364 Å, c = 10.535 Å, α = 90.00°, β = 90.00° and γ = 90.00°. The inequivalent atoms are Ba at (0.000, 0.000, 0.000), Zn at (0.000, 0.500, 0.200), Ir at (0.000, 0.000, 0.493) and Ir at (0.000, 0.500, 0.792).

The following is a PBE calculation of crystalline K3RbAu at its relaxed geometry, from Alexandria via LeMat-Bulk.

The calculated volume comes out at 2248.88 Å³ per cell. Its energy of formation from the pure elements is -103 meV per atom. The total energy is -1.611 eV per atom.

It has space group C2/c (No. 15), with a = 17.428 Å, b = 14.588 Å, c = 9.143 Å, α = 90.00°, β = 104.65° and γ = 90.00°. The inequivalent atoms are K at (0.087, 0.060, 0.443), K at (0.209, 0.361, 0.628), K at (0.228, 0.363, 0.100), Rb at (0.000, 0.244, 0.750), Rb at (0.000, 0.333, 0.250) and Au at (0.117, 0.160, 0.108).

The following is a PBE calculation of crystalline LiCuAs2 at its relaxed geometry, from Alexandria via LeMat-Bulk.

The calculated volume comes out at 63.65 Å³ per cell. Its energy of formation from the pure elements is -20 meV per atom. The total energy is -3.847 eV per atom.

It has space group Pmm2 (No. 25), with a = 2.862 Å, b = 4.153 Å, c = 5.354 Å, α = 90.00°, β = 90.00° and γ = 90.00°. The inequivalent atoms are Li at (0.000, 0.000, 0.000), Cu at (0.500, 0.500, 0.668), As at (0.000, 0.000, 0.513) and As at (0.500, 0.500, 0.152).